Record 1
First-principles (PBE-GGA) data for Ba2LaRe after structural relaxation, as listed in Alexandria.

Properties
space-group type: P4/mmm (123)
formation enthalpy at 0 K: 0.9764 eV per atom

Geometry as POSCAR:
```
Ba2LaRe
1.0
3.6348 0.0000 0.0000
0.0000 3.6348 0.0000
0.0000 0.0000 10.8909
Ba La Re
2 1 1
Cartesian
0.0000 0.0000 2.0458 Ba
0.0000 0.0000 8.8452 Ba
1.8174 1.8174 5.4455 La
1.8174 1.8174 0.0000 Re
```

Record 2
First-principles (PBE-GGA) data for NdDy4Er3Se8 after structural relaxation, as listed in Alexandria.

Properties
space-group type: R-3m (166)
uncorrected formation energy: -27.69 eV/f.u.

Geometry as POSCAR:
```
NdDy4Er3Se8
1.0
4.0855 2.3588 6.6566
-4.0855 2.3588 6.6566
0.0000 -4.7175 6.6566
Nd Dy Er Se
1 4 3 8
Cartesian
0.0000 0.0000 0.0000 Nd
-4.0855 0.0000 9.9848 Dy
-2.0427 1.1794 3.3283 Dy
2.0427 1.1794 3.3283 Dy
0.0000 0.0000 9.9848 Dy
-2.0427 -1.1794 6.6566 Er
-2.0427 1.1794 13.3131 Er
0.0000 2.3588 6.6566 Er
0.0000 0.0000 5.0191 Se
0.0000 -2.3013 8.3352 Se
-1.9930 1.1507 8.3352 Se
-1.9930 -1.1507 11.6345 Se
1.9930 1.1507 8.3352 Se
1.9930 -1.1507 11.6345 Se
0.0000 2.3013 11.6345 Se
0.0000 0.0000 14.9506 Se
```

Record 3
First-principles (PBE-GGA) data for CaTmCd2Au4 after structural relaxation, as listed in Alexandria.

Properties
space-group type: R-3m (166)
formation enthalpy at 0 K: -0.6209 eV per atom

Geometry as POSCAR:
```
CaTmCd2Au4
1.0
2.4660 1.4237 8.0629
-2.4660 1.4237 8.0629
0.0000 -2.8475 8.0629
Ca Tm Cd Au
1 1 2 4
Cartesian
0.0000 0.0000 0.0000 Ca
0.0000 0.0000 12.0944 Tm
0.0000 0.0000 6.0867 Cd
0.0000 0.0000 18.1021 Cd
0.0000 0.0000 3.0999 Au
0.0000 0.0000 9.1523 Au
0.0000 0.0000 15.0365 Au
0.0000 0.0000 21.0889 Au
```

Record 4
First-principles (PBE-GGA) data for BeSe3Br after structural relaxation, as listed in Alexandria.

Properties
space-group type: Pm-3m (221)
uncorrected formation energy: 1.97 eV/f.u.

Geometry as POSCAR:
```
BeSe3Br
1.0
4.6720 0.0000 0.0000
0.0000 4.6720 0.0000
0.0000 0.0000 4.6720
Be Se Br
1 3 1
Cartesian
0.0000 0.0000 0.0000 Be
0.0000 0.0000 2.3360 Se
0.0000 2.3360 0.0000 Se
2.3360 0.0000 0.0000 Se
2.3360 2.3360 2.3360 Br
```

Record 5
First-principles (PBE-GGA) data for Ac2PuAlSi2 after structural relaxation, as listed in Alexandria.

Properties
space-group type: Ibam (72)
uncorrected formation energy: -2.27 eV/f.u.

Geometry as POSCAR:
```
Ac2PuAlSi2
1.0
-3.2585 7.6987 3.1407
3.2585 -7.6987 3.1407
3.2585 7.6987 -3.1407
Ac Pu Al Si
4 2 2 4
Cartesian
1.6295 2.6545 0.0000 Ac
1.6295 -2.6545 3.1407 Ac
1.6290 10.3531 0.0000 Ac
1.6290 5.0442 3.1407 Ac
0.0000 0.0000 1.5704 Pu
0.0000 0.0000 4.7111 Pu
3.2585 0.0000 1.5704 Al
0.0000 7.6987 1.5704 Al
4.6875 1.6644 0.0000 Si
1.4290 6.0343 0.0000 Si
1.8295 1.6644 3.1407 Si
-1.4290 6.0343 3.1407 Si
```

Record 6
First-principles (PBE-GGA) data for Ca3Tl2Zn4 after structural relaxation, as listed in Alexandria.

Properties
space-group type: C2/m (12)
formation enthalpy at 0 K: -0.2885 eV per atom

Geometry as POSCAR:
```
Ca3Tl2Zn4
1.0
5.4984 -2.3667 0.0000
5.4984 2.3667 0.0000
-3.7359 0.0000 8.2109
Ca Tl Zn
3 2 4
Cartesian
0.0000 0.0000 0.0000 Ca
2.5074 0.0000 2.6810 Ca
4.7535 0.0000 5.5299 Ca
1.5051 0.0000 5.8919 Tl
5.7557 0.0000 2.3190 Tl
-0.8301 0.0000 3.3367 Zn
-0.5343 0.0000 7.8405 Zn
7.7951 0.0000 0.3704 Zn
8.0909 0.0000 4.8742 Zn
```

Record 7
First-principles (PBE-GGA) data for TlInPt2 after structural relaxation, as listed in Alexandria.

Properties
space-group type: P4mm (99)
formation enthalpy at 0 K: -0.1049 eV per atom

Geometry as POSCAR:
```
TlInPt2
1.0
3.7625 0.0000 0.0000
0.0000 3.7625 0.0000
0.0000 0.0000 5.6574
Tl In Pt
1 1 2
Cartesian
0.0000 0.0000 0.0000 Tl
1.8812 1.8812 1.9674 In
0.0000 0.0000 2.8472 Pt
1.8812 1.8812 4.7274 Pt
```

Record 8
First-principles (PBE-GGA) data for Rb2ZnGaCl6 after structural relaxation, as listed in Alexandria.

Properties
space-group type: I4/mmm (139)
uncorrected formation energy: -13.09 eV/f.u.

Geometry as POSCAR:
```
Rb2ZnGaCl6
1.0
-3.7375 3.7375 4.5469
3.7375 -3.7375 4.5469
3.7375 3.7375 -4.5469
Rb Zn Ga Cl
2 1 1 6
Cartesian
3.7375 0.0000 2.2735 Rb
0.0000 3.7375 2.2735 Rb
0.0000 0.0000 0.0000 Zn
0.0000 0.0000 4.5469 Ga
0.0000 0.0000 2.2147 Cl
1.8933 1.8933 0.0000 Cl
1.8442 -1.8442 4.5469 Cl
-1.8442 1.8442 4.5469 Cl
1.8442 1.8442 4.5469 Cl
0.0000 0.0000 6.8791 Cl
```

Record 9
First-principles (PBE-GGA) data for Hg3Sb2Au3 after structural relaxation, as listed in Alexandria.

Properties
space-group type: C2/c (15)
uncorrected formation energy: 0.36 eV/f.u.

Geometry as POSCAR:
```
Hg3Sb2Au3
1.0
2.2995 -6.8025 0.0000
2.2995 6.8025 0.0000
-2.0881 0.0000 12.3780
Hg Sb Au
6 4 6
Cartesian
1.6235 4.1149 1.5715 Hg
0.7334 4.5071 9.2835 Hg
1.9314 4.1149 4.6175 Hg
0.5794 -4.1149 7.7605 Hg
1.7774 -4.5071 3.0945 Hg
0.8873 -4.1149 10.8066 Hg
0.9947 0.4609 1.1942 Sb
-0.0494 -0.4609 7.3832 Sb
2.5602 0.4609 4.9948 Sb
1.5161 -0.4609 11.1839 Sb
0.5142 1.9991 6.0287 Au
0.7334 1.4383 9.2835 Au
-0.5299 -1.9991 12.2177 Au
3.0407 1.9991 0.1603 Au
1.7774 -1.4383 3.0945 Au
1.9966 -1.9991 6.3493 Au
```

Record 10
First-principles (PBE-GGA) data for TbCeNd2Tl4 after structural relaxation, as listed in Alexandria.

Properties
space-group type: R-3m (166)
formation enthalpy at 0 K: -0.3261 eV per atom

Geometry as POSCAR:
```
TbCeNd2Tl4
1.0
2.7432 1.5838 9.0004
-2.7432 1.5838 9.0004
0.0000 -3.1675 9.0004
Tb Ce Nd Tl
1 1 2 4
Cartesian
0.0000 0.0000 0.0000 Tb
0.0000 0.0000 13.5007 Ce
0.0000 0.0000 6.7734 Nd
0.0000 0.0000 20.2279 Nd
0.0000 0.0000 3.3483 Tl
0.0000 0.0000 10.1021 Tl
0.0000 0.0000 16.8992 Tl
0.0000 0.0000 23.6530 Tl
```

Record 11
First-principles (PBE-GGA) data for CsTe2Au after structural relaxation, as listed in Alexandria.

Properties
space-group type: P2/c (13)
uncorrected formation energy: -2.04 eV/f.u.

Geometry as POSCAR:
```
CsTe2Au
1.0
9.1731 0.0000 0.0000
0.0000 7.6819 0.0000
-7.4480 0.0000 11.6580
Cs Te Au
4 8 4
Cartesian
0.5322 1.8065 1.6852 Cs
-3.1917 5.8754 7.5142 Cs
4.9169 1.8065 4.1438 Cs
1.1929 5.8754 9.9728 Cs
-2.5193 2.0217 7.7403 Te
1.2047 5.6602 1.9113 Te
-4.3919 0.0780 10.7793 Te
-0.6679 7.6039 4.9503 Te
2.3931 0.0780 6.7077 Te
6.1171 7.6039 0.8787 Te
0.5205 2.0217 9.7467 Te
4.2445 5.6602 3.9177 Te
-1.9869 1.1477 10.2441 Au
1.7370 6.5342 4.4150 Au
-0.0119 1.1477 7.2430 Au
3.7121 6.5342 1.4140 Au
```

Record 12
First-principles (PBE-GGA) data for K3Nd2SnTe6 after structural relaxation, as listed in Alexandria.

Properties
space-group type: C2/m (12)
uncorrected formation energy: -13.29 eV/f.u.

Geometry as POSCAR:
```
K3Nd2SnTe6
1.0
3.9834 -6.9008 0.0000
3.9834 6.9008 0.0000
-2.6571 0.0000 8.2487
K Nd Sn Te
3 2 1 6
Cartesian
0.0000 0.0000 0.0000 K
3.9834 2.3145 0.0000 K
3.9834 -2.3145 0.0000 K
2.6548 4.6033 4.1243 Nd
2.6548 -4.6033 4.1243 Nd
2.6548 0.0000 4.1243 Sn
1.3541 2.2551 2.3880 Te
0.0528 0.0000 5.8633 Te
1.3541 -2.2551 2.3880 Te
3.9555 2.2551 5.8607 Te
5.2567 0.0000 2.3854 Te
3.9555 -2.2551 5.8607 Te
```

no.,calculated total energy (eV per atom),volume (Å³ per cell),magnetization (Bohr magnetons per cell)
1,-4.3289,143.9,1.31
2,-5.7768,384.9,0.00
3,-3.2975,169.8,0.00
4,-2.7761,102.0,0.00
5,-6.5675,315.2,11.84
6,-2.0478,213.7,0.00
7,-4.4015,80.1,0.00
8,-3.0405,254.1,0.00
9,-2.3274,387.2,0.00
10,-4.0218,234.6,1.11
11,-3.1139,821.5,0.00
12,-4.0813,453.5,0.00